PBE-GGA Ho12ScAl3, optimized geometry; symmetry = P4/mmm (123); E_form = -0.1304 eV/atom
1.0
4.757 0.000 0.000
0.000 4.757 0.000
0.000 0.000 19.262
Ho Al Sc
12 3 1
direct
0.500 0.000 0.623 Ho
0.000 0.500 0.377 Ho
0.000 0.500 0.130 Ho
0.500 0.000 0.377 Ho
0.500 0.500 0.254 Ho
0.500 0.000 0.130 Ho
0.500 0.500 0.500 Ho
0.000 0.500 0.870 Ho
0.500 0.500 0.746 Ho
0.000 0.500 0.623 Ho
0.500 0.000 0.870 Ho
0.500 0.500 0.000 Ho
0.000 0.000 0.256 Al
0.000 0.000 0.744 Al
0.000 0.000 0.500 Al
0.000 0.000 0.000 Sc